Material: Tb2Pm2Pr2Dy
Method: DFT, PBE
State: optimized geometry

Geometry as POSCAR:
```
Tb2Pm2Pr2Dy
1.0
5.771 0.000 0.000
2.886 4.998 0.000
2.886 1.666 8.239
Tb Dy Pr Pm
2 1 2 2
Direct
0.574 0.574 0.279
0.426 0.426 0.721
0.000 0.000 0.000
0.138 0.138 0.585
0.862 0.862 0.415
0.717 0.717 0.848
0.283 0.283 0.152
```

- M_tot (μB per formula unit) = 0.002
- density (Mg/m³) = 7.35
- electronic total energy (eV/atom) = -4.57
- energy of formation from the pure elements (kcal/mol of atoms) = 3.1



Material: AlInOs2
Method: DFT, PBE
State: optimized geometry

Geometry as POSCAR:
```
AlInOs2
1.0
2.855 -0.004 0.000
-1.302 2.540 0.000
0.000 0.000 8.820
Os Al In
2 1 1
Direct
0.000 0.000 0.479
0.000 0.000 0.021
0.500 0.500 0.250
0.500 0.500 0.750
```

- M_tot (μB per formula unit) = 0.000
- density (Mg/m³) = 13.57
- ΔE to the lowest computed polymorph (eV/atom) = 0.216
- electronic total energy (eV/atom) = -6.91
- energy of formation from the pure elements (kcal/mol of atoms) = 7.4



Material: FeIrPbSe2
Method: DFT, PBE
State: optimized geometry

Geometry as POSCAR:
```
FeIrPbSe2
1.0
4.540 0.000 0.000
0.000 5.162 0.000
0.000 0.000 4.540
Se Ir Pb Fe
2 1 1 1
Direct
0.500 0.000 0.000
0.000 0.000 0.500
0.500 0.500 0.500
0.000 0.500 0.000
0.000 0.000 0.000
```

- M_tot (μB per formula unit) = 1.207
- density (Mg/m³) = 9.57
- ΔE to the lowest computed polymorph (eV/atom) = 0.000
- ΔE_f (raw) (eV per atom) = 0.8681
- electronic total energy (eV/atom) = -4.73



Material: KFeCu2
Method: DFT, PBE
State: optimized geometry

Geometry as POSCAR:
```
KFeCu2
1.0
5.275 0.000 0.000
2.248 4.772 0.000
-3.761 -2.386 2.825
K Cu Fe
1 2 1
Direct
0.750 0.250 0.500
0.250 0.750 0.500
0.000 0.000 0.000
0.500 0.500 0.000
```

- M_tot (μB per formula unit) = 2.951
- density (Mg/m³) = 5.19
- ΔE to the lowest computed polymorph (eV/atom) = 0.489
- electronic total energy (eV/atom) = -3.43
- energy of formation from the pure elements (kcal/mol of atoms) = 23.2



Material: CaYLu2
Method: DFT, PBE
State: optimized geometry

Geometry as POSCAR:
```
CaYLu2
1.0
-2.938 0.336 2.019
1.004 -2.842 1.934
5.125 6.183 6.427
Y Ca Lu
1 1 2
Direct
0.500 0.500 0.000
0.500 0.500 0.500
0.000 0.000 0.230
0.000 0.000 0.770
```

- M_tot (μB per formula unit) = 0.000
- density (Mg/m³) = 6.03
- ΔE to the lowest computed polymorph (eV/atom) = 0.001
- electronic total energy (eV/atom) = -4.28
- energy of formation from the pure elements (kcal/mol of atoms) = 2.2



Material: Tb2ThSc4
Method: DFT, PBE
State: optimized geometry

Geometry as POSCAR:
```
Tb2ThSc4
1.0
-1.674 -2.698 1.341
0.644 -3.694 -6.629
6.653 -3.177 1.912
Sc Tb Th
4 2 1
Direct
0.500 0.500 0.000
0.000 0.759 0.759
0.000 0.241 0.241
0.500 0.000 0.500
0.000 0.196 0.804
0.000 0.804 0.196
0.500 0.500 0.500
```

- M_tot (μB per formula unit) = 0.000
- density (Mg/m³) = 6.07
- ΔE to the lowest computed polymorph (eV/atom) = 0.000
- electronic total energy (eV/atom) = -5.82
- energy of formation from the pure elements (kcal/mol of atoms) = 4.1



Material: InSn3Te
Method: DFT, PBE
State: optimized geometry

Geometry as POSCAR:
```
InSn3Te
1.0
-1.079 3.458 4.324
1.823 -3.937 3.604
5.228 2.087 -0.364
Te Sn In
1 3 1
Direct
0.500 0.500 0.500
0.000 0.500 0.000
0.000 0.000 0.500
0.500 0.000 0.000
0.000 0.000 0.000
```

- M_tot (μB per formula unit) = 0.000
- density (Mg/m³) = 5.54
- ΔE to the lowest computed polymorph (eV/atom) = 0.000
- ΔE_f (raw) (eV per atom) = 0.5043
- electronic total energy (eV/atom) = -3.07



Material: YGa4Ru3
Method: DFT, PBE
State: optimized geometry

Geometry as POSCAR:
```
YGa4Ru3
1.0
4.416 0.000 0.000
0.000 6.546 0.000
0.000 0.000 8.795
Ru Y Ga
6 2 8
Direct
0.511 0.000 0.750
0.000 0.000 0.500
0.489 0.000 0.250
0.531 0.500 0.250
0.469 0.500 0.750
0.000 0.000 0.000
0.000 0.500 0.000
0.000 0.500 0.500
0.500 0.215 0.000
0.011 0.786 0.750
0.500 0.215 0.500
0.989 0.786 0.250
0.989 0.214 0.250
0.500 0.785 0.500
0.500 0.785 0.000
0.011 0.214 0.750
```

- M_tot (μB per formula unit) = 0.000
- density (Mg/m³) = 8.77
- electronic total energy (eV/atom) = -6.14
- energy of formation from the pure elements (kcal/mol of atoms) = -7.7